## one
Computed, not measured: a geometry-optimized NdZnNO structure at the PBE-GGA level of DFT.

Calculated values
size of the total moment	0.0	μB per cell
symmetry	No. 29
volume	15.68	A^3/atom

a b c (Å): 5.822 7.517 5.732
angles (deg): 90.00 90.00 90.00
Fractional positions:
Nd1 0.033 0.352 0.394
Zn1 0.895 0.963 0.501
O1 0.253 0.529 0.132
N1 0.617 0.886 0.675
Nd2 0.467 0.352 0.894
Zn2 0.605 0.963 0.001
N2 0.883 0.886 0.175
Nd3 0.967 0.648 0.894
N3 0.117 0.114 0.675
O2 0.247 0.529 0.632
N4 0.383 0.114 0.175
Nd4 0.533 0.648 0.394
O3 0.747 0.471 0.632
Zn3 0.395 0.037 0.501
O4 0.753 0.471 0.132
Zn4 0.105 0.037 0.001

***

## two
Computed, not measured: a geometry-optimized NdZnNO structure at the PBE-GGA level of DFT.

Calculated values
size of the total moment	0.0	μB per cell
symmetry	No. 29
volume	14.75	A^3/atom

a b c (Å): 5.247 5.655 7.954
angles (deg): 90.00 90.00 90.00
Fractional positions:
O1 0.635 0.117 0.583
Zn1 0.509 0.951 0.384
N1 0.541 0.049 0.142
Nd1 0.517 0.971 0.845
N2 0.041 0.451 0.142
O2 0.135 0.883 0.417
Zn2 0.009 0.049 0.616
Nd2 0.017 0.029 0.155
Zn3 0.509 0.451 0.616
O3 0.635 0.617 0.417
N3 0.041 0.951 0.858
Nd3 0.017 0.529 0.845
O4 0.135 0.383 0.583
Nd4 0.517 0.471 0.155
Zn4 0.009 0.549 0.384
N4 0.541 0.549 0.858

***

## three
Computed, not measured: a geometry-optimized NdZnNO structure at the PBE-GGA level of DFT.

Calculated values
size of the total moment	0.0	μB per cell
symmetry	No. 26
volume	15.37	A^3/atom

a b c (Å): 3.751 5.410 6.061
angles (deg): 90.00 90.00 90.00
Fractional positions:
N1 0.000 0.930 0.325
O1 0.500 0.358 0.118
N2 0.000 0.430 0.675
Zn1 0.500 0.984 0.203
Nd1 0.000 0.982 0.709
O2 0.500 0.858 0.882
Nd2 0.000 0.482 0.291
Zn2 0.500 0.484 0.797

***

## four
Computed, not measured: a geometry-optimized NdZnNO structure at the PBE-GGA level of DFT.

Calculated values
size of the total moment	0.0	μB per cell
symmetry	No. 129
volume	14.10	A^3/atom

a b c (Å): 3.759 3.759 7.980
angles (deg): 90.00 90.00 90.00
Fractional positions:
O1 0.250 0.750 0.000
N1 0.750 0.750 0.366
Zn1 0.250 0.750 0.500
Nd1 0.750 0.750 0.838
N2 0.250 0.250 0.634
Zn2 0.750 0.250 0.500
Nd2 0.250 0.250 0.162
O2 0.750 0.250 0.000

***

Most stable: one. Least stable: four.

***

## one
Computed, not measured: a geometry-optimized NiN structure at the PBE-GGA level of DFT.

Calculated values
size of the total moment	0.4	μB per cell
symmetry	No. 51
volume	9.01	A^3/atom

a b c (Å): 5.003 2.656 5.421
angles (deg): 90.00 90.00 90.00
Fractional positions:
Ni1 0.750 0.000 0.001
N1 0.750 0.000 0.652
Ni2 0.500 0.500 0.500
N2 0.250 0.000 0.348
Ni3 0.000 0.500 0.500
N3 0.750 0.500 0.229
Ni4 0.250 0.000 0.999
N4 0.250 0.500 0.771

***

## two
Computed, not measured: a geometry-optimized NiN structure at the PBE-GGA level of DFT.

Calculated values
size of the total moment	0.1	μB per cell
symmetry	No. 187
volume	8.49	A^3/atom

a b c (Å): 2.759 2.759 2.575
angles (deg): 90.00 90.00 120.00
Fractional positions:
N1 0.667 0.333 0.750
Ni1 0.333 0.667 0.250

***

## three
Computed, not measured: a geometry-optimized NiN structure at the PBE-GGA level of DFT.

Calculated values
size of the total moment	0.0	μB per cell
symmetry	No. 221
volume	8.16	A^3/atom

a b c (Å): 2.537 2.537 2.537
angles (deg): 90.00 90.00 90.00
Fractional positions:
N1 0.000 0.000 0.000
Ni1 0.500 0.500 0.500

***

Most stable: one. Least stable: three.

***

## one
Computed, not measured: a geometry-optimized NiN structure at the PBE-GGA level of DFT.

Calculated values
size of the total moment	0.0	μB per cell
symmetry	No. 225
volume	8.34	A^3/atom

a b c (Å): 2.868 2.868 2.868
angles (deg): 60.00 60.00 60.00
Fractional positions:
N1 0.000 0.000 0.000
Ni1 0.500 0.500 0.500

***

## two
Computed, not measured: a geometry-optimized NiN structure at the PBE-GGA level of DFT.

Calculated values
size of the total moment	0.0	μB per cell
symmetry	No. 186
volume	10.01	A^3/atom

a b c (Å): 3.009 3.009 5.108
angles (deg): 90.00 90.00 120.00
Fractional positions:
Ni1 0.333 0.667 0.872
N1 0.333 0.667 0.503
Ni2 0.000 0.000 0.372
N2 0.000 0.000 0.003

***

Most stable: two. Least stable: one.

***

## one
Computed, not measured: a geometry-optimized NiN structure at the PBE-GGA level of DFT.

Calculated values
size of the total moment	0.0	μB per cell
symmetry	No. 216
volume	9.98	A^3/atom

a b c (Å): 3.044 3.044 3.044
angles (deg): 60.00 60.00 60.00
Fractional positions:
Ni1 0.250 0.250 0.250
N1 0.000 0.000 0.000

***

## two
Computed, not measured: a geometry-optimized NiN structure at the PBE-GGA level of DFT.

Calculated values
size of the total moment	0.0	μB per cell
symmetry	No. 65
volume	8.20	A^3/atom

a b c (Å): 3.892 2.547 3.310
angles (deg): 90.00 90.00 90.00
Fractional positions:
Ni1 0.750 0.500 0.250
N1 0.250 0.000 0.250
N2 0.750 0.000 0.750
Ni2 0.250 0.500 0.750

***

Most stable: one. Least stable: two.

***

## one
Computed, not measured: a geometry-optimized PmOsNO structure at the PBE-GGA level of DFT.

Calculated values
size of the total moment	0.0	μB per cell
symmetry	No. 26
volume	13.57	A^3/atom

a b c (Å): 3.769 5.110 5.638
angles (deg): 90.00 90.00 90.00
Fractional positions:
Pm1 0.000 0.002 0.799
O1 0.500 0.748 0.945
N1 0.000 0.998 0.348
Os1 0.500 0.506 0.638
N2 0.000 0.498 0.652
Os2 0.500 0.006 0.362
O2 0.500 0.248 0.055
Pm2 0.000 0.502 0.201

***

## two
Computed, not measured: a geometry-optimized PmOsNO structure at the PBE-GGA level of DFT.

Calculated values
size of the total moment	0.0	μB per cell
symmetry	No. 26
volume	15.18	A^3/atom

a b c (Å): 3.494 5.610 6.195
angles (deg): 90.00 90.00 90.00
Fractional positions:
O1 0.500 0.148 0.129
N1 0.000 0.547 0.186
Pm1 0.500 0.217 0.484
Os1 0.000 0.314 0.948
Pm2 0.500 0.783 0.984
Os2 0.000 0.686 0.448
N2 0.000 0.453 0.686
O2 0.500 0.852 0.629

***

## three
Computed, not measured: a geometry-optimized PmOsNO structure at the PBE-GGA level of DFT.

Calculated values
size of the total moment	0.0	μB per cell
symmetry	No. 129
volume	14.50	A^3/atom

a b c (Å): 3.843 3.843 7.852
angles (deg): 90.00 90.00 90.00
Fractional positions:
N1 0.250 0.250 0.619
Os1 0.250 0.750 0.500
O1 0.250 0.750 0.000
Pm1 0.250 0.250 0.156
Os2 0.750 0.250 0.500
Pm2 0.750 0.750 0.844
O2 0.750 0.250 0.000
N2 0.750 0.750 0.381

***

## four
Computed, not measured: a geometry-optimized PmOsNO structure at the PBE-GGA level of DFT.

Calculated values
size of the total moment	0.0	μB per cell
symmetry	No. 57
volume	14.61	A^3/atom

a b c (Å): 6.740 6.823 5.081
angles (deg): 90.00 90.00 90.00
Fractional positions:
Pm1 0.093 0.321 0.988
Os1 0.185 0.822 0.988
Os2 0.685 0.178 0.988
Pm2 0.407 0.321 0.488
N1 0.532 0.649 0.488
N2 0.968 0.649 0.988
O1 0.750 0.963 0.238
Os3 0.315 0.822 0.488
N3 0.468 0.351 0.988
Os4 0.815 0.178 0.488
O2 0.750 0.963 0.738
O3 0.250 0.037 0.738
O4 0.250 0.037 0.238
Pm3 0.907 0.679 0.488
N4 0.032 0.351 0.488
Pm4 0.593 0.679 0.988

***

Most stable: three. Least stable: two.

***

## one
Computed, not measured: a geometry-optimized RbOsNO structure at the PBE-GGA level of DFT.

Calculated values
size of the total moment	3.4	μB per cell
symmetry	No. 67
volume	18.94	A^3/atom

a b c (Å): 4.366 4.366 7.950
angles (deg): 90.00 90.00 90.27
Fractional positions:
Os1 0.750 0.750 0.073
O1 0.750 0.250 0.000
Rb1 0.750 0.250 0.500
N1 0.250 0.250 0.707
O2 0.250 0.750 0.000
Rb2 0.250 0.750 0.500
Os2 0.250 0.250 0.927
N2 0.750 0.750 0.293

***

## two
Computed, not measured: a geometry-optimized RbOsNO structure at the PBE-GGA level of DFT.

Calculated values
size of the total moment	0.1	μB per cell
symmetry	No. 129
volume	17.84	A^3/atom

a b c (Å): 3.665 3.665 10.624
angles (deg): 90.00 90.00 90.00
Fractional positions:
Rb1 0.250 0.250 0.185
N1 0.250 0.250 0.596
Os1 0.750 0.250 0.500
N2 0.750 0.750 0.404
O1 0.750 0.250 0.000
Rb2 0.750 0.750 0.815
O2 0.250 0.750 0.000
Os2 0.250 0.750 0.500

***

## three
Computed, not measured: a geometry-optimized RbOsNO structure at the PBE-GGA level of DFT.

Calculated values
size of the total moment	0.0	μB per cell
symmetry	No. 29
volume	17.12	A^3/atom

a b c (Å): 5.775 8.780 5.402
angles (deg): 90.00 90.00 90.00
Fractional positions:
Rb1 0.059 0.646 0.005
N1 0.606 0.973 0.683
O1 0.449 0.317 0.494
Os1 0.384 0.108 0.520
O2 0.051 0.317 0.994
Rb2 0.559 0.354 0.005
Rb3 0.441 0.646 0.505
O3 0.949 0.683 0.494
N2 0.894 0.973 0.183
N3 0.106 0.027 0.683
Os2 0.884 0.892 0.520
Os3 0.616 0.892 0.020
O4 0.551 0.683 0.994
Os4 0.116 0.108 0.020
N4 0.394 0.027 0.183
Rb4 0.941 0.354 0.505

***

## four
Computed, not measured: a geometry-optimized RbOsNO structure at the PBE-GGA level of DFT.

Calculated values
size of the total moment	0.5	μB per cell
symmetry	No. 129
volume	17.27	A^3/atom

a b c (Å): 3.636 3.636 10.453
angles (deg): 90.00 90.00 90.00
Fractional positions:
Os1 0.500 0.500 0.500
Rb1 0.000 0.500 0.811
O1 0.500 0.500 0.000
N1 0.000 0.500 0.399
N2 0.500 0.000 0.601
Os2 0.000 0.000 0.500
Rb2 0.500 0.000 0.189
O2 0.000 0.000 0.000

***

Most stable: three. Least stable: one.